This record from the Alexandria database describes an optimized crystal structure of LiOsPtBr2. The functional is PBE.

extended XYZ file:
```
5
Lattice="4.4636 0.0000 0.0000 0.0000 4.4636 0.0000 0.0000 0.0000 5.0097" Properties=species:S:1:pos:R:3 pbc="T T T"
Li 0.0000 0.0000 0.0000
Os 0.0000 0.0000 2.5048
Pt 2.2318 2.2318 2.5048
Br 0.0000 2.2318 0.0000
Br 2.2318 0.0000 0.0000
```

E_form (uncorrected) in eV/atom: 1.231